[1]
CaLa2Co2 | PBE | relaxed

Cell: 7.945 7.945 3.807 Å, 90.00 90.00 90.00°
Element x y z (fractional)
Ca 0.000 0.000 0.000
Ca 0.500 0.500 0.000
Co 0.370 0.870 0.000
Co 0.870 0.630 0.000
Co 0.630 0.130 0.000
Co 0.130 0.370 0.000
La 0.152 0.652 0.500
La 0.652 0.848 0.500
La 0.848 0.348 0.500
La 0.348 0.152 0.500

Output
Calculated total energy: -5.167 eV/atom
Calculated density: 6.02 Mg/m³
Total moment: 0.0 μB per formula unit
Energy above the lowest structure with this stoichiometry: 0.498 eV per formula unit
Energy of formation: 4.49 kJ per mole of atoms

***

[2]
SrTaMo | PBE | relaxed

Cell: 4.964 4.964 2.983 Å, 90.00 90.00 120.00°
Element x y z (fractional)
Mo 0.000 0.000 0.953
Sr 0.667 0.333 0.321
Ta 0.333 0.667 0.727

Output
Calculated total energy: -7.096 eV/atom
Calculated density: 9.51 Mg/m³
Total moment: 0.0 μB per formula unit
Energy above the lowest structure with this stoichiometry: 1.541 eV per formula unit
Energy of formation: 98.94 kJ per mole of atoms

***

[3]
AgHPd3 | PBE | relaxed

Cell: 10.584 7.416 7.416 Å, 79.03 124.28 55.72°
Element x y z (fractional)
H 0.750 0.172 0.672
H 0.250 0.828 0.328
H 0.750 0.462 0.962
H 0.250 0.538 0.038
Pd 0.426 0.385 0.488
Pd 0.074 0.988 0.885
Pd 0.574 0.615 0.512
Pd 0.926 0.012 0.115
Pd 0.080 0.235 0.142
Pd 0.420 0.642 0.735
Pd 0.920 0.765 0.858
Pd 0.580 0.358 0.265
Pd 0.581 0.859 0.764
Pd 0.919 0.264 0.359
Pd 0.419 0.141 0.236
Pd 0.081 0.736 0.641
Ag 0.081 0.482 0.391
Ag 0.419 0.891 0.982
Ag 0.919 0.518 0.609
Ag 0.581 0.109 0.018

Output
Calculated total energy: -4.403 eV/atom
Calculated density: 10.70 Mg/m³
Total moment: 0.0 μB per formula unit
Energy above the lowest structure with this stoichiometry: 0.127 eV per formula unit

***

[4]
Ta2Ge6W | PBE | relaxed

Cell: 4.949 4.980 6.770 Å, 90.00 90.00 119.79°
Element x y z (fractional)
Ta 0.000 0.500 0.665
Ta 0.500 0.500 0.335
Ge 0.834 0.668 0.000
Ge 0.328 0.162 0.669
Ge 0.834 0.162 0.331
Ge 0.166 0.332 0.000
Ge 0.672 0.838 0.669
Ge 0.166 0.838 0.331
W 0.500 0.000 0.000

Output
Calculated total energy: -7.255 eV/atom
Calculated density: 11.26 Mg/m³
Total moment: 0.0 μB per formula unit
Energy of formation: -9.98 kJ per mole of atoms

***

[5]
Tl2RhCl | PBE | relaxed

Cell: 4.064 4.064 5.955 Å, 90.00 90.00 90.00°
Element x y z (fractional)
Cl 0.000 0.000 0.342
Rh 0.500 0.500 0.886
Tl 0.000 0.000 0.858
Tl 0.500 0.500 0.415

Output
Calculated total energy: -3.576 eV/atom
Calculated density: 9.24 Mg/m³
Total moment: 0.0 μB per formula unit
Energy above the lowest structure with this stoichiometry: 0.301 eV per formula unit

***

[6]
ThScFeCo | PBE | relaxed

Cell: 4.672 4.672 4.672 Å, 60.00 60.00 60.00°
Each line ends with the local moment (μB).
Element x y z (fractional)
Sc 0.750 0.750 0.750  -0.15
Co 0.000 0.000 0.000  0.44
Fe 0.500 0.500 0.500  0.74
Th 0.250 0.250 0.250  -0.16

Output
Calculated total energy: -7.439 eV/atom
Calculated density: 9.02 Mg/m³
Total moment: 0.7 μB per formula unit
Energy of formation: -10.51 kJ per mole of atoms

***

- calculated density of number 2 (SrTaMo)?
  9.51 Mg/m³